Record 1
BiOsRuSe2 | PBE | optimized geometry

As for the uncorrected formation energy: 83.43 kJ/mol of atoms. As for the calculated volume: 22.8 Å³ per atom.

The structure belongs to space group P4/mmm (No. 123); the cell edges are 4.8682, 4.8682 and 4.8188 Å and the angles 90.00°, 90.00° and 90.00°. The distinct sites, in fractional coordinates, are Bi at (0.0000, 0.0000, 0.0000), Os at (0.5000, 0.5000, 0.5000), Ru at (0.5000, 0.5000, 0.0000) and Se at (0.0000, 0.5000, 0.5000).



Record 2
BiTe2OsRu | PBE | optimized geometry

As for the uncorrected formation energy: 97.59 kJ/mol of atoms. As for the calculated volume: 25.8 Å³ per atom.

The structure belongs to space group P4/mmm (No. 123); the cell edges are 5.2333, 5.2333 and 4.7146 Å and the angles 90.00°, 90.00° and 90.00°. The distinct sites, in fractional coordinates, are Bi at (0.0000, 0.0000, 0.0000), Te at (0.0000, 0.5000, 0.5000), Os at (0.5000, 0.5000, 0.0000) and Ru at (0.5000, 0.5000, 0.5000).



Record 3
Th3BiOsRu | PBE | optimized geometry

The formation energy from the elements comes out at -0.415 eV/atom. As for the calculated volume: 28.0 Å³ per atom.

The structure belongs to space group P2_1/m (No. 11); the cell edges are 8.5489, 4.3316 and 9.9762 Å and the angles 90.00°, 114.55° and 90.00°. The distinct sites, in fractional coordinates, are Th at (0.1540, 0.2500, 0.1414), Th at (0.2267, 0.7500, 0.4727), Th at (0.2918, 0.7500, 0.8690), Bi at (0.4951, 0.7500, 0.2727), Os at (0.0620, 0.2500, 0.8363) and Ru at (0.0094, 0.7500, 0.6109).



Record 4
BiOs2RuW | PBE | optimized geometry

The formation energy from the elements comes out at 3.425 eV/atom. As for the calculated volume: 23.7 Å³ per atom.

The structure belongs to space group P4/mmm (No. 123); the cell edges are 4.8630, 4.8630 and 5.0101 Å and the angles 90.00°, 90.00° and 90.00°. The distinct sites, in fractional coordinates, are Bi at (0.0000, 0.0000, 0.0000), Os at (0.0000, 0.5000, 0.0000), Ru at (0.5000, 0.5000, 0.5000) and W at (0.0000, 0.0000, 0.5000).



Record 5
BiOs2S | PBE | optimized geometry

Its polymorph energy (0 for the lowest one) is 0.398 eV/atom. As for the uncorrected formation energy: 110.58 kJ/mol of atoms. As for the calculated volume: 16.9 Å³ per atom.

The structure belongs to space group Fm-3m (No. 225); the cell edges are 6.4720, 6.4720 and 6.4720 Å and the angles 90.00°, 90.00° and 90.00°. The distinct sites, in fractional coordinates, are Bi at (0.0000, 0.0000, 0.0000), Os at (0.2500, 0.2500, 0.2500) and S at (0.0000, 0.0000, 0.5000).



Record 6
Bi2OsS2 | PBE | optimized geometry

As for the uncorrected formation energy: 43.87 kJ/mol of atoms. As for the calculated volume: 23.9 Å³ per atom.

The structure belongs to space group I4/mmm (No. 139); the cell edges are 5.6261, 5.6261 and 7.5632 Å and the angles 90.00°, 90.00° and 90.00°. The distinct sites, in fractional coordinates, are Bi at (0.0000, 0.5000, 0.2500), Os at (0.0000, 0.0000, 0.0000) and S at (0.0000, 0.0000, 0.3047).



Record 7
BiOs2S | PBE | optimized geometry

Its polymorph energy (0 for the lowest one) is 0.000 eV/atom. As for the uncorrected formation energy: 72.21 kJ/mol of atoms. As for the calculated volume: 22.1 Å³ per atom.

The structure belongs to space group I-42d (No. 122); the cell edges are 5.4870, 5.4870 and 11.7495 Å and the angles 90.00°, 90.00° and 90.00°. The distinct sites, in fractional coordinates, are Bi at (0.0000, 0.0000, 0.0000), Os at (0.1713, 0.2500, 0.6250) and S at (0.0000, 0.0000, 0.5000).



Record 8
Bi2OsS | PBE | optimized geometry

As for the uncorrected formation energy: 65.93 kJ/mol of atoms. As for the calculated volume: 31.3 Å³ per atom.

The structure belongs to space group I-42d (No. 122); the cell edges are 6.4398, 6.4398 and 12.0596 Å and the angles 90.00°, 90.00° and 90.00°. The distinct sites, in fractional coordinates, are Bi at (0.2201, 0.2500, 0.1250), Os at (0.0000, 0.0000, 0.0000) and S at (0.0000, 0.0000, 0.5000).